1.
First-principles (GGA-PBE) data for a relaxed structure of V2MoRu5, as listed in Alexandria via LeMat-Bulk.

Cell lengths 5.430, 5.430, 5.173 Å; angles 106.01, 106.00, 118.33 degrees
Element x y z (fractional)
V 0.270 0.839 0.553
V 0.717 0.285 0.447
Mo 0.820 0.736 0.000
Ru 0.241 0.315 0.500
Ru 0.300 0.736 0.000
Ru 0.820 0.256 0.000
Ru 0.741 0.815 0.500
Ru 0.315 0.240 0.000

- total moment (μB/f.u.) = 0.00
- formation energy from the elements (eV per atom) = -0.108

***

2.
First-principles (GGA-PBE) data for a relaxed structure of ZrBe2BiPd, as listed in Alexandria via LeMat-Bulk.

Cell lengths 4.591, 5.108, 4.591 Å; angles 90.00, 90.00, 90.00 degrees
Element x y z (fractional)
Zr 0.500 0.500 0.500
Bi 0.000 0.000 0.000
Pd 0.000 0.500 0.000
Be 0.000 0.000 0.500
Be 0.500 0.000 0.000

- total moment (μB/f.u.) = 0.00
- formation energy from the elements (eV per atom) = 1.117

***

3.
First-principles (GGA-PBE) data for a relaxed structure of YCd2Cl, as listed in Alexandria via LeMat-Bulk.

Cell lengths 3.458, 3.458, 9.333 Å; angles 90.00, 90.00, 113.12 degrees
Element x y z (fractional)
Cd 0.000 0.000 0.021
Cd 0.000 0.000 0.479
Cl 0.500 0.500 0.250
Y 0.500 0.500 0.750

- excess energy over the best structure of this formula in the dataset (meV/atom) = 256
- energy relative to the elements, uncorrected (eV per formula unit) = -1.6
- total moment (μB/f.u.) = 0.00

***

| no. | energy (eV/atom) |
| --- | --- |
| 1 | -9.5388 |
| 2 | -3.8977 |
| 3 | -2.9278 |